# GdYIn2Ni4, optimized geometry, DFT PBE
# - SG: No. 25
# - Distance to the lowest polymorph of the same formula: 0 meV/atom
data_GdYIn2Ni4
_chemical_formula_sum 'Gd1 Y1 In2 Ni4'
_cell_length_a 4.007
_cell_length_b 5.106
_cell_length_c 7.017
_cell_angle_alpha 90.00
_cell_angle_beta 90.00
_cell_angle_gamma 90.00
_space_group_name_H-M_alt 'P 1'
_space_group_IT_number 1
loop_
_space_group_symop_operation_xyz
'x,y,z'
loop_
_atom_site_label
_atom_site_type_symbol
_atom_site_fract_x
_atom_site_fract_y
_atom_site_fract_z
Ni1 Ni 0.500 0.500 0.888
Ni2 Ni 0.500 0.000 0.111
In1 In 0.000 0.500 0.647
Ni3 Ni 0.000 0.749 0.000
In2 In 0.000 0.000 0.351
Gd1 Gd 0.500 0.000 0.730
Ni4 Ni 0.000 0.251 0.000
Y1 Y 0.500 0.500 0.271



# Tc3AgN, optimized geometry, DFT PBE
# - SG: No. 221
# - Energy: -0.60379 Ry per atom
data_Tc3AgN
_chemical_formula_sum 'Tc3 Ag1 N1'
_cell_length_a 4.072
_cell_length_b 4.072
_cell_length_c 4.072
_cell_angle_alpha 90.00
_cell_angle_beta 90.00
_cell_angle_gamma 90.00
_space_group_name_H-M_alt 'P 1'
_space_group_IT_number 1
loop_
_space_group_symop_operation_xyz
'x,y,z'
loop_
_atom_site_label
_atom_site_type_symbol
_atom_site_fract_x
_atom_site_fract_y
_atom_site_fract_z
Tc1 Tc 0.500 0.500 0.000
Tc2 Tc 0.500 0.000 0.500
N1 N 0.500 0.500 0.500
Ag1 Ag 0.000 0.000 0.000
Tc3 Tc 0.000 0.500 0.500



# BaHfBePt, optimized geometry, DFT PBE
# - SG: No. 216
# - Distance to the lowest polymorph of the same formula: 279 meV/atom
data_BaHfBePt
_chemical_formula_sum 'Ba1 Hf1 Be1 Pt1'
_cell_length_a 4.852
_cell_length_b 4.852
_cell_length_c 4.852
_cell_angle_alpha 60.00
_cell_angle_beta 60.00
_cell_angle_gamma 60.00
_space_group_name_H-M_alt 'P 1'
_space_group_IT_number 1
loop_
_space_group_symop_operation_xyz
'x,y,z'
loop_
_atom_site_label
_atom_site_type_symbol
_atom_site_fract_x
_atom_site_fract_y
_atom_site_fract_z
Ba1 Ba 0.250 0.250 0.250
Pt1 Pt 0.500 0.500 0.500
Hf1 Hf 0.000 0.000 0.000
Be1 Be 0.750 0.750 0.750



# Na4Au3, optimized geometry, DFT PBE
# - SG: No. 15
# - Energy: -0.17879 Ry per atom
data_Na4Au3
_chemical_formula_sum 'Na8 Au6'
_cell_length_a 5.543
_cell_length_b 5.543
_cell_length_c 11.365
_cell_angle_alpha 99.00
_cell_angle_beta 99.00
_cell_angle_gamma 68.28
_space_group_name_H-M_alt 'P 1'
_space_group_IT_number 1
loop_
_space_group_symop_operation_xyz
'x,y,z'
loop_
_atom_site_label
_atom_site_type_symbol
_atom_site_fract_x
_atom_site_fract_y
_atom_site_fract_z
Au1 Au 0.053 0.947 0.250
Au2 Au 0.947 0.053 0.750
Au3 Au 0.306 0.161 0.924
Na1 Na 0.796 0.282 0.014
Na2 Na 0.669 0.698 0.307
Na3 Na 0.204 0.718 0.986
Au4 Au 0.161 0.306 0.424
Na4 Na 0.331 0.302 0.693
Na5 Na 0.698 0.669 0.807
Au5 Au 0.694 0.839 0.076
Na6 Na 0.718 0.204 0.486
Na7 Na 0.282 0.796 0.514
Na8 Na 0.302 0.331 0.193
Au6 Au 0.839 0.694 0.576



no.,V (Å³ per cell)
1,143.6
2,67.5
3,80.8
4,318.6